(1)
{
  "formula": "Zr3Cu5",
  "functional": "PBE",
  "state": "optimized geometry",
  "n_ef_per_ev_atom": 0.99,
  "e_tot_ev_per_atom": -5.599,
  "formation_energy_ev_per_fu": 1.34,
  "sg": "Cmcm",
  "lattice": [[7.229, -4.182, 0.000], [7.229, 4.182, 0.000], [0.000, 0.000, 4.526]],
  "species": ["Zr", "Zr", "Zr", "Zr", "Zr", "Zr", "Cu", "Cu", "Cu", "Cu", "Cu", "Cu", "Cu", "Cu", "Cu", "Cu"],
  "frac_coords": [[0.125, 0.500, 0.250], [0.125, 0.875, 0.750], [0.500, 0.125, 0.750], [0.500, 0.875, 0.250], [0.875, 0.125, 0.250], [0.875, 0.500, 0.750], [0.167, 0.167, 0.000], [0.167, 0.167, 0.500], [0.322, 0.500, 0.750], [0.323, 0.677, 0.250], [0.500, 0.322, 0.250], [0.500, 0.678, 0.750], [0.677, 0.323, 0.750], [0.678, 0.500, 0.250], [0.833, 0.833, 0.000], [0.833, 0.833, 0.500]]
}


(2)
{
  "formula": "ZrCu3",
  "functional": "PBE",
  "state": "optimized geometry",
  "n_ef_per_ev_atom": 0.45,
  "e_tot_ev_per_atom": -5.271,
  "formation_energy_ev_per_fu": -0.25,
  "sg": "Pmmm",
  "lattice": [[2.855, 0.000, 0.000], [0.000, 3.334, 0.000], [0.000, 0.000, 6.175]],
  "species": ["Zr", "Cu", "Cu", "Cu"],
  "frac_coords": [[0.000, 0.000, 0.000], [0.000, 0.000, 0.500], [0.500, 0.500, 0.293], [0.500, 0.500, 0.707]]
}


(3)
{
  "formula": "Zr2Cu",
  "functional": "PBE",
  "state": "optimized geometry",
  "n_ef_per_ev_atom": 0.86,
  "e_tot_ev_per_atom": -6.777,
  "formation_energy_ev_per_fu": 0.86,
  "sg": "Pnnm",
  "lattice": [[5.824, 0.000, 0.000], [0.000, 7.575, 0.000], [0.000, 0.000, 2.817]],
  "species": ["Zr", "Zr", "Zr", "Zr", "Cu", "Cu"],
  "frac_coords": [[0.159, 0.171, 0.000], [0.341, 0.671, 0.500], [0.659, 0.329, 0.500], [0.841, 0.829, 0.000], [0.000, 0.500, 0.000], [0.500, 0.000, 0.500]]
}


(4)
{
  "formula": "Zr2Cu",
  "functional": "PBE",
  "state": "optimized geometry",
  "n_ef_per_ev_atom": 1.44,
  "e_tot_ev_per_atom": -7.042,
  "formation_energy_ev_per_fu": 0.07,
  "sg": "P6_3/mmc",
  "lattice": [[4.702, 0.000, 0.000], [-2.351, 4.072, 0.000], [0.000, 0.000, 6.108]],
  "species": ["Zr", "Zr", "Zr", "Zr", "Cu", "Cu"],
  "frac_coords": [[0.000, 0.000, 0.000], [0.000, 0.000, 0.500], [0.333, 0.667, 0.250], [0.667, 0.333, 0.750], [0.333, 0.667, 0.750], [0.667, 0.333, 0.250]]
}


(5)
{
  "formula": "ZrCu2",
  "functional": "PBE",
  "state": "optimized geometry",
  "n_ef_per_ev_atom": 0.96,
  "e_tot_ev_per_atom": -5.638,
  "formation_energy_ev_per_fu": -0.17,
  "sg": "P6_3/mmc",
  "lattice": [[4.482, 0.000, 0.000], [-2.241, 3.882, 0.000], [0.000, 0.000, 5.483]],
  "species": ["Zr", "Zr", "Cu", "Cu", "Cu", "Cu"],
  "frac_coords": [[0.333, 0.667, 0.250], [0.667, 0.333, 0.750], [0.000, 0.000, 0.000], [0.000, 0.000, 0.500], [0.333, 0.667, 0.750], [0.667, 0.333, 0.250]]
}


(6)
{
  "formula": "Zr3Cu5",
  "functional": "PBE",
  "state": "optimized geometry",
  "n_ef_per_ev_atom": 0.97,
  "e_tot_ev_per_atom": -5.808,
  "formation_energy_ev_per_fu": -0.34,
  "sg": "Cmmm",
  "lattice": [[6.336, 0.000, 0.000], [0.000, 9.094, 0.000], [0.000, 0.000, 4.557]],
  "species": ["Zr", "Zr", "Zr", "Zr", "Zr", "Zr", "Cu", "Cu", "Cu", "Cu", "Cu", "Cu", "Cu", "Cu", "Cu", "Cu"],
  "frac_coords": [[0.000, 0.000, 0.000], [0.000, 0.282, 0.500], [0.000, 0.718, 0.500], [0.500, 0.218, 0.500], [0.500, 0.500, 0.000], [0.500, 0.782, 0.500], [0.000, 0.500, 0.000], [0.214, 0.000, 0.500], [0.250, 0.250, 0.000], [0.250, 0.750, 0.000], [0.286, 0.500, 0.500], [0.500, 0.000, 0.000], [0.714, 0.500, 0.500], [0.750, 0.250, 0.000], [0.750, 0.750, 0.000], [0.786, 0.000, 0.500]]
}


(7)
{
  "formula": "ZrCu2",
  "functional": "PBE",
  "state": "optimized geometry",
  "n_ef_per_ev_atom": 0.66,
  "e_tot_ev_per_atom": -4.901,
  "formation_energy_ev_per_fu": 2.04,
  "sg": "Pa-3",
  "lattice": [[6.144, 0.000, 0.000], [0.000, 6.144, 0.000], [0.000, 0.000, 6.144]],
  "species": ["Zr", "Zr", "Zr", "Zr", "Cu", "Cu", "Cu", "Cu", "Cu", "Cu", "Cu", "Cu"],
  "frac_coords": [[0.000, 0.000, 0.000], [0.000, 0.500, 0.500], [0.500, 0.000, 0.500], [0.500, 0.500, 0.000], [0.109, 0.609, 0.891], [0.109, 0.891, 0.391], [0.391, 0.109, 0.891], [0.391, 0.391, 0.391], [0.609, 0.609, 0.609], [0.609, 0.891, 0.109], [0.891, 0.109, 0.609], [0.891, 0.391, 0.109]]
}


(8)
{
  "formula": "Zr2Cu",
  "functional": "PBE",
  "state": "optimized geometry",
  "n_ef_per_ev_atom": 1.10,
  "e_tot_ev_per_atom": -6.435,
  "formation_energy_ev_per_fu": 1.89,
  "sg": "P6_3/mmc",
  "lattice": [[5.585, 0.000, 0.000], [-2.792, 4.837, 0.000], [0.000, 0.000, 9.274]],
  "species": ["Zr", "Zr", "Zr", "Zr", "Zr", "Zr", "Zr", "Zr", "Cu", "Cu", "Cu", "Cu"],
  "frac_coords": [[0.000, 0.000, 0.000], [0.000, 0.000, 0.500], [0.170, 0.340, 0.250], [0.170, 0.830, 0.250], [0.340, 0.170, 0.750], [0.660, 0.830, 0.250], [0.830, 0.170, 0.750], [0.830, 0.660, 0.750], [0.333, 0.667, 0.561], [0.333, 0.667, 0.939], [0.667, 0.333, 0.061], [0.667, 0.333, 0.439]]
}


(9)
{
  "formula": "ZrCu3",
  "functional": "PBE",
  "state": "optimized geometry",
  "n_ef_per_ev_atom": 1.08,
  "e_tot_ev_per_atom": -5.175,
  "formation_energy_ev_per_fu": 0.14,
  "sg": "Pm-3n",
  "lattice": [[4.936, 0.000, 0.000], [0.000, 4.936, 0.000], [0.000, 0.000, 4.936]],
  "species": ["Zr", "Zr", "Cu", "Cu", "Cu", "Cu", "Cu", "Cu"],
  "frac_coords": [[0.000, 0.000, 0.000], [0.500, 0.500, 0.500], [0.000, 0.250, 0.500], [0.000, 0.750, 0.500], [0.250, 0.500, 0.000], [0.500, 0.000, 0.250], [0.500, 0.000, 0.750], [0.750, 0.500, 0.000]]
}


(10)
{
  "formula": "ZrCu3",
  "functional": "PBE",
  "state": "optimized geometry",
  "n_ef_per_ev_atom": 0.43,
  "e_tot_ev_per_atom": -5.061,
  "formation_energy_ev_per_fu": 0.59,
  "sg": "P-6m2",
  "lattice": [[2.827, 0.000, 0.000], [-1.413, 2.448, 0.000], [0.000, 0.000, 8.673]],
  "species": ["Zr", "Cu", "Cu", "Cu"],
  "frac_coords": [[0.000, 0.000, 0.000], [0.000, 0.000, 0.500], [0.667, 0.333, 0.275], [0.667, 0.333, 0.725]]
}


(11)
{
  "formula": "ZrCu3",
  "functional": "PBE",
  "state": "optimized geometry",
  "n_ef_per_ev_atom": 0.77,
  "e_tot_ev_per_atom": -5.291,
  "formation_energy_ev_per_fu": -0.33,
  "sg": "P6_3/mmc",
  "lattice": [[5.682, 0.000, 0.000], [-2.841, 4.921, 0.000], [0.000, 0.000, 4.260]],
  "species": ["Zr", "Zr", "Cu", "Cu", "Cu", "Cu", "Cu", "Cu"],
  "frac_coords": [[0.333, 0.667, 0.250], [0.667, 0.333, 0.750], [0.151, 0.302, 0.750], [0.151, 0.849, 0.750], [0.302, 0.151, 0.250], [0.698, 0.849, 0.750], [0.849, 0.151, 0.250], [0.849, 0.698, 0.250]]
}


(12)
{
  "formula": "Zr3Cu2",
  "functional": "PBE",
  "state": "optimized geometry",
  "n_ef_per_ev_atom": 1.30,
  "e_tot_ev_per_atom": -6.852,
  "formation_energy_ev_per_fu": -0.42,
  "sg": "P4/mmm",
  "lattice": [[3.252, 0.000, 0.000], [0.000, 3.252, 0.000], [0.000, 0.000, 17.738]],
  "species": ["Zr", "Zr", "Zr", "Zr", "Zr", "Zr", "Cu", "Cu", "Cu", "Cu"],
  "frac_coords": [[0.000, 0.000, 0.000], [0.000, 0.000, 0.186], [0.000, 0.000, 0.377], [0.000, 0.000, 0.623], [0.000, 0.000, 0.814], [0.500, 0.500, 0.500], [0.500, 0.500, 0.093], [0.500, 0.500, 0.282], [0.500, 0.500, 0.718], [0.500, 0.500, 0.907]]
}